[1]
# Ba5AgP

Ba5AgP after structural relaxation (PBE-GGA, Alexandria via LeMat-Bulk).

It has space group P2_1/m (No. 11), with a = 9.0661 Å, b = 4.8239 Å, c = 14.9994 Å, α = 90.00°, β = 91.31° and γ = 90.00°. The distinct sites, in fractional coordinates, are Ba at (0.0789, 0.2500, 0.1664), Ba at (0.1460, 0.7500, 0.5716), Ba at (0.3176, 0.7500, 0.0123), Ba at (0.3535, 0.2500, 0.7817), Ba at (0.3646, 0.2500, 0.3648), Ag at (0.0743, 0.7500, 0.3369) and P at (0.4354, 0.2500, 0.1407).

The formation energy is -0.384 eV/atom. The calculation puts the total magnetic moment at 0.0 Bohr magnetons per cell.

[2]
# KTeSeN2

KTeSeN2 after structural relaxation (PBE-GGA, Alexandria via LeMat-Bulk).

It has space group P4/mmm (No. 123), with a = 4.5248 Å, b = 4.5248 Å, c = 5.4782 Å, α = 90.00°, β = 90.00° and γ = 90.00°. The distinct sites, in fractional coordinates, are K at (0.0000, 0.0000, 0.0000), Te at (0.5000, 0.5000, 0.0000), Se at (0.5000, 0.5000, 0.5000) and N at (0.0000, 0.5000, 0.5000).

Its uncorrected formation energy is 1.37 eV per atom. The calculation puts the total magnetic moment at 3.0 Bohr magnetons per cell.

[3]
# Li2AgHg5

Li2AgHg5 after structural relaxation (PBE-GGA, Alexandria via LeMat-Bulk).

It has space group P6_3/mmc (No. 194), with a = 4.7816 Å, b = 4.7816 Å, c = 18.3010 Å, α = 90.00°, β = 90.00° and γ = 120.00°. The distinct sites, in fractional coordinates, are Li at (0.3333, 0.6667, 0.0997), Ag at (0.3333, 0.6667, 0.2500), Hg at (0.0000, 0.0000, 0.1501), Hg at (0.3333, 0.6667, 0.5532) and Hg at (0.3333, 0.6667, 0.7500).

The formation energy is -0.100 eV/atom. The calculation puts the total magnetic moment at 0.0 Bohr magnetons per cell.

[4]
# Cd4GaHg2

Cd4GaHg2 after structural relaxation (PBE-GGA, Alexandria via LeMat-Bulk).

It has space group I4/mmm (No. 139), with a = 5.3192 Å, b = 5.3192 Å, c = 14.7161 Å, α = 90.00°, β = 90.00° and γ = 90.00°. The distinct sites, in fractional coordinates, are Cd at (0.0000, 0.0000, 0.1874), Cd at (0.0000, 0.5000, 0.0000), Ga at (0.0000, 0.0000, 0.0000) and Hg at (0.0000, 0.0000, 0.3810).

The formation energy is 0.161 eV/atom. The calculation puts the total magnetic moment at 0.0 Bohr magnetons per cell.

[5]
# NdSc3Cu4

NdSc3Cu4 after structural relaxation (PBE-GGA, Alexandria via LeMat-Bulk).

It has space group Pmma (No. 51), with a = 9.4655 Å, b = 6.7036 Å, c = 4.7304 Å, α = 90.00°, β = 90.00° and γ = 90.00°. The distinct sites, in fractional coordinates, are Nd at (0.0000, 0.0000, 0.0000), Sc at (0.0000, 0.5000, 0.0000), Sc at (0.2500, 0.0000, 0.4987), Sc at (0.2500, 0.5000, 0.4964), Cu at (0.0000, 0.2780, 0.5000) and Cu at (0.2500, 0.2779, 0.9942).

The formation energy is -0.211 eV/atom. The calculation puts the total magnetic moment at 0.0 Bohr magnetons per cell.

[6]
# BaO

BaO after structural relaxation (PBE-GGA, Alexandria via LeMat-Bulk).

It has space group P4/nmm (No. 129, origin choice 2), with a = 4.7578 Å, b = 4.7578 Å, c = 3.9593 Å, α = 90.00°, β = 90.00° and γ = 90.00°. The distinct sites, in fractional coordinates, are Ba at (0.2500, 0.2500, 0.2281) and O at (0.2500, 0.7500, 0.5000).

Its uncorrected formation energy is -2.34 eV per atom. The calculation puts the total magnetic moment at 0.0 Bohr magnetons per cell.

[7]
# Tb12NdY5

Tb12NdY5 after structural relaxation (PBE-GGA, Alexandria via LeMat-Bulk).

It has space group P2/m (No. 10), with a = 10.7040 Å, b = 5.0490 Å, c = 10.7149 Å, α = 90.00°, β = 90.06° and γ = 90.00°. The distinct sites, in fractional coordinates, are Tb at (0.0006, 0.0000, 0.3335), Tb at (0.1651, 0.5000, 0.4991), Tb at (0.1670, 0.5000, 0.1670), Tb at (0.3318, 0.0000, 0.3318), Tb at (0.3336, 0.0000, 0.0006), Tb at (0.4992, 0.5000, 0.1651), Nd at (0.5000, 0.5000, 0.5000), Y at (0.0000, 0.0000, 0.0000), Y at (0.1665, 0.5000, 0.8335) and Y at (0.3327, 0.0000, 0.6673).

The formation energy is 0.018 eV/atom. The calculation puts the total magnetic moment at 0.0 Bohr magnetons per cell.

[8]
# Be4RhSe

Be4RhSe after structural relaxation (PBE-GGA, Alexandria via LeMat-Bulk).

It has space group F-43m (No. 216), with a = 6.3670 Å, b = 6.3670 Å, c = 6.3670 Å, α = 90.00°, β = 90.00° and γ = 90.00°. The distinct sites, in fractional coordinates, are Be at (0.1230, 0.1230, 0.1230), Rh at (0.2500, 0.2500, 0.7500) and Se at (0.0000, 0.0000, 0.5000).

Its uncorrected formation energy is 0.02 eV per atom. The calculation puts the total magnetic moment at 0.0 Bohr magnetons per cell.